Record 1
4
Lattice="1.642 0.948 8.969 -1.642 0.948 8.969 0.000 -1.896 8.969" Properties=species:S:1:pos:R:3 comment="Sc2InIr, relaxed, DFT PBE-GGA" spacegroup="R-3m, No. 166" energy_ev_per_atom=-6.50 formation_energy_ev_per_atom=-0.439 pbc="T T T"
Sc 0.000 0.000 6.408
Sc 0.000 0.000 20.499
In 0.000 0.000 0.000
Ir 0.000 0.000 13.454


Record 2
8
Lattice="-2.927 2.927 5.768 2.927 -2.927 5.768 2.927 2.927 -5.768" Properties=species:S:1:pos:R:3 comment="Y2PdF, relaxed, DFT PBE-GGA" spacegroup="I-42d, No. 122" energy_ev_per_atom=-6.40 e_above_lowest_polymorph_ev_per_atom=0.000 pbc="T T T"
Y 4.391 1.166 -1.442
Y 1.166 1.464 1.442
Y -1.464 1.761 4.326
Y 1.761 1.464 7.211
Pd 2.927 0.000 2.884
Pd 0.000 0.000 5.768
F 0.000 0.000 0.000
F 0.000 2.927 2.884


Record 3
5
Lattice="5.118 0.000 0.000 0.000 5.118 0.000 0.000 0.000 4.557" Properties=species:S:1:pos:R:3 comment="Cd2AsRhW, relaxed, DFT PBE-GGA" spacegroup="P4/mmm, No. 123" energy_ev_per_atom=-4.21 formation_energy_ev_per_atom=1.143 pbc="T T T"
Cd 0.000 2.559 0.000
Cd 2.559 0.000 0.000
As 0.000 0.000 2.278
Rh 0.000 0.000 0.000
W 2.559 2.559 2.278


What did the third record say?
5
Lattice="5.118 0.000 0.000 0.000 5.118 0.000 0.000 0.000 4.557" Properties=species:S:1:pos:R:3 comment="Cd2AsRhW, relaxed, DFT PBE-GGA" spacegroup="P4/mmm, No. 123" energy_ev_per_atom=-4.21 formation_energy_ev_per_atom=1.143 pbc="T T T"
Cd 0.000 2.559 0.000
Cd 2.559 0.000 0.000
As 0.000 0.000 2.278
Rh 0.000 0.000 0.000
W 2.559 2.559 2.278